No. 1
An optimized crystal structure of TaMnW2. Source: the Alexandria database, functional GGA-PBE.

a b c (Å): 3.1413 4.3948 4.4635
angles (deg): 90.00 90.00 90.00
Sites, in units of the cell vectors:
W: 0.5000 0.5000 0.0000
W: 0.0000 0.0000 0.0000
Ta: 0.0000 0.5000 0.5000
Mn: 0.5000 0.0000 0.5000

## Properties
- Calculated total energy: -11.7456 eV per atom
- Magnetization: 0.00 μB per atom
- N(E_F): 2.0 states/eV/f.u.
- Density: 16.26 g/cm3
- Space group: No. 47

No. 2
An optimized crystal structure of TaMnW2. Source: the Alexandria database, functional GGA-PBE.

a b c (Å): 2.7494 2.7494 8.6519
angles (deg): 90.00 90.00 108.52
Sites, in units of the cell vectors:
W: 0.0000 0.0000 0.0194
W: 0.0000 0.0000 0.4806
Mn: 0.5000 0.5000 0.2500
Ta: 0.5000 0.5000 0.7500

## Properties
- Calculated total energy: -11.6825 eV per atom
- Magnetization: 0.31 μB per atom
- N(E_F): 3.1 states/eV/f.u.
- Density: 16.16 g/cm3
- Space group: No. 65

No. 3
An optimized crystal structure of TaMn2W. Source: the Alexandria database, functional GGA-PBE.

a b c (Å): 8.9151 8.9151 8.9151
angles (deg): 17.87 17.87 17.87
Sites, in units of the cell vectors:
Mn: 0.2591 0.2591 0.2591
Mn: 0.9934 0.9934 0.9934
Ta: 0.5054 0.5054 0.5054
W: 0.7421 0.7421 0.7421

## Properties
- Calculated total energy: -10.4130 eV per atom
- Magnetization: 0.48 μB per atom
- N(E_F): 5.2 states/eV/f.u.
- Density: 13.53 g/cm3
- Space group: No. 160

No. 4
An optimized crystal structure of TaMn2W. Source: the Alexandria database, functional GGA-PBE.

a b c (Å): 2.7208 2.7208 7.6551
angles (deg): 90.00 90.00 95.14
Sites, in units of the cell vectors:
Mn: 0.0000 0.0000 0.0405
Mn: 0.5000 0.5000 0.2058
W: 0.5000 0.5000 0.7796
Ta: 0.0000 0.0000 0.4741

## Properties
- Calculated total energy: -10.6912 eV per atom
- Magnetization: 0.00 μB per atom
- N(E_F): 3.2 states/eV/f.u.
- Density: 13.97 g/cm3
- Space group: No. 35

No. 5
An optimized crystal structure of TaMnW2. Source: the Alexandria database, functional GGA-PBE.

a b c (Å): 3.1336 3.1336 6.2675
angles (deg): 90.00 90.00 90.00
Sites, in units of the cell vectors:
Mn: 0.0000 0.0000 0.4967
W: 0.5000 0.5000 0.2571
W: 0.0000 0.0000 0.0075
Ta: 0.5000 0.5000 0.7388

## Properties
- Calculated total energy: -11.7566 eV per atom
- Magnetization: 0.00 μB per atom
- N(E_F): 2.5 states/eV/f.u.
- Density: 16.29 g/cm3
- Space group: No. 99

No. 6
An optimized crystal structure of TaMn2W. Source: the Alexandria database, functional GGA-PBE.

a b c (Å): 3.0721 3.0721 6.0532
angles (deg): 90.00 90.00 90.00
Sites, in units of the cell vectors:
Ta: 0.0000 0.0000 0.4798
W: 0.5000 0.5000 0.7733
Mn: 0.5000 0.5000 0.2444
Mn: 0.0000 0.0000 0.0026

## Properties
- Calculated total energy: -10.7171 eV per atom
- Magnetization: 0.41 μB per atom
- N(E_F): 4.2 states/eV/f.u.
- Density: 13.80 g/cm3
- Space group: No. 99